Record 1
The following is a DFT calculation (PBE) of LiMoI2N after structural relaxation.

* total moment: 1.21 μB/f.u.
* DFT total energy: -4.9026 eV/atom
* SG: P4/mmm

```
data_LiMoI2N
_chemical_formula_sum 'Li1 Mo1 I2 N1'
_cell_length_a 5.7219
_cell_length_b 5.7219
_cell_length_c 3.8632
_cell_angle_alpha 90.00
_cell_angle_beta 90.00
_cell_angle_gamma 90.00
_symmetry_space_group_name_H-M 'P 1'
_symmetry_Int_Tables_number 1
loop_
_symmetry_equiv_pos_as_xyz
'x,y,z'
loop_
_atom_site_label
_atom_site_type_symbol
_atom_site_fract_x
_atom_site_fract_y
_atom_site_fract_z
Li1 Li 0.5000 0.5000 0.5000
N1 N 0.0000 0.0000 0.5000
I1 I 0.0000 0.5000 0.0000
I2 I 0.5000 0.0000 0.0000
Mo1 Mo 0.0000 0.0000 0.0000
```

=====

Record 2
The following is a DFT calculation (PBE) of LaMgOs after structural relaxation.

* total moment: 0.00 μB/f.u.
* DFT total energy: -5.7120 eV/atom
* formation energy: 0.21 eV per atom
* SG: P-6m2

```
data_LaMgOs
_chemical_formula_sum 'La1 Mg1 Os1'
_cell_length_a 4.6266
_cell_length_b 4.6266
_cell_length_c 3.6969
_cell_angle_alpha 90.00
_cell_angle_beta 90.00
_cell_angle_gamma 120.00
_symmetry_space_group_name_H-M 'P 1'
_symmetry_Int_Tables_number 1
loop_
_symmetry_equiv_pos_as_xyz
'x,y,z'
loop_
_atom_site_label
_atom_site_type_symbol
_atom_site_fract_x
_atom_site_fract_y
_atom_site_fract_z
Mg1 Mg 0.6667 0.3333 0.4998
La1 La 0.0000 0.0000 0.9999
Os1 Os 0.3333 0.6667 0.5003
```

=====

Record 3
The following is a DFT calculation (PBE) of BeTePt after structural relaxation.

* total moment: 0.00 μB/f.u.
* DFT total energy: -4.7147 eV/atom
* SG: P-1

```
data_BeTePt
_chemical_formula_sum 'Be2 Te2 Pt2'
_cell_length_a 4.2740
_cell_length_b 3.8239
_cell_length_c 8.3207
_cell_angle_alpha 103.28
_cell_angle_beta 80.54
_cell_angle_gamma 116.62
_symmetry_space_group_name_H-M 'P 1'
_symmetry_Int_Tables_number 1
loop_
_symmetry_equiv_pos_as_xyz
'x,y,z'
loop_
_atom_site_label
_atom_site_type_symbol
_atom_site_fract_x
_atom_site_fract_y
_atom_site_fract_z
Pt1 Pt 0.1350 0.0145 0.7127
Te1 Te 0.7347 0.5958 0.2758
Pt2 Pt 0.0657 0.3510 0.4551
Be1 Be 0.4517 0.0513 0.4680
Te2 Te 0.4657 0.7695 0.8920
Be2 Be 0.7494 0.3148 0.7001
```